Crystalline PdW2F at its relaxed geometry, computed with PBE+U.

a b c (Å): 6.2126 6.2126 6.2126
angles (deg): 90.00 90.00 90.00
Closest atoms and distances in Å follow each position.
Space group Fm-3m (No. 225)
Unique sites:
Pd1 0.0000 0.0000 0.0000 [4 per cell]  8 W 2.69
W1 0.2500 0.2500 0.2500 [8 per cell]  4 F 2.69, 4 Pd 2.69
F1 0.0000 0.0000 0.5000 [4 per cell]  8 W 2.69

Calculated values
- raw total energy (eV/atom) = -4.62